Record 1
A plane-wave DFT calculation with GGA-PBE was carried out for a geometry-optimized Na10B13C7 structure.

abc: 17.751 2.842 13.228
angles: 90.00 113.67 90.00
Space group Cm (No. 8)
Unique sites:
Na  0.000  0.000  0.000 (multiplicity 2)
Na  0.000  0.000  0.498 (multiplicity 2)
Na  0.100  0.500  0.198 (multiplicity 2)
Na  0.101  0.500  0.698 (multiplicity 2)
Na  0.200  0.000  0.397 (multiplicity 2)
Na  0.201  0.000  0.900 (multiplicity 2)
Na  0.299  0.500  0.599 (multiplicity 2)
Na  0.301  0.500  0.099 (multiplicity 2)
Na  0.399  0.000  0.299 (multiplicity 2)
Na  0.401  0.000  0.800 (multiplicity 2)
B  0.039  0.000  0.827 (multiplicity 2)
B  0.064  0.500  0.375 (multiplicity 2)
B  0.133  0.500  0.015 (multiplicity 2)
B  0.161  0.000  0.570 (multiplicity 2)
B  0.227  0.000  0.202 (multiplicity 2)
B  0.232  0.000  0.714 (multiplicity 2)
B  0.267  0.500  0.283 (multiplicity 2)
B  0.273  0.500  0.795 (multiplicity 2)
B  0.336  0.500  0.420 (multiplicity 2)
B  0.370  0.000  0.988 (multiplicity 2)
B  0.431  0.000  0.609 (multiplicity 2)
B  0.467  0.500  0.181 (multiplicity 2)
B  0.470  0.500  0.687 (multiplicity 2)
C  0.032  0.000  0.312 (multiplicity 2)
C  0.068  0.500  0.888 (multiplicity 2)
C  0.130  0.500  0.506 (multiplicity 2)
C  0.164  0.000  0.077 (multiplicity 2)
C  0.337  0.500  0.923 (multiplicity 2)
C  0.367  0.000  0.483 (multiplicity 2)
C  0.435  0.000  0.117 (multiplicity 2)

Properties
Volume   10.19 A^3/atom
Offset from the most stable computed form   7 meV/atom
Electronic total energy   -5.393 eV per atom

---

Record 2
A plane-wave DFT calculation with GGA-PBE was carried out for a geometry-optimized Tb2HoAg4 structure.

abc: 5.281 5.281 12.765
angles: 90.00 90.00 90.00
Space group I4/mmm (No. 139)
Unique sites:
Tb  0.000  0.000  0.225 (multiplicity 4)
Ho  0.000  0.000  0.500 (multiplicity 2)
Ag  0.000  0.500  0.119 (multiplicity 8)

Properties
Volume   25.43 A^3/atom
Electronic total energy   -3.726 eV per atom

---

Record 3
A plane-wave DFT calculation with GGA-PBE was carried out for a geometry-optimized Pa3Be2Os5 structure.

abc: 9.781 9.781 3.478
angles: 90.00 90.00 90.00
Space group P4/mbm (No. 127)
Unique sites:
Pa  0.000  0.000  0.000 (multiplicity 2)
Pa  0.170  0.330  0.000 (multiplicity 4)
Be  0.122  0.622  0.000 (multiplicity 4)
Os  0.000  0.500  0.500 (multiplicity 2)
Os  0.076  0.783  0.500 (multiplicity 8)

Properties
Volume   16.63 A^3/atom
Electronic total energy   -9.581 eV per atom

---

Record 4
A plane-wave DFT calculation with GGA-PBE was carried out for a geometry-optimized Cs2SrC structure.

abc: 8.233 8.233 8.233
angles: 90.00 90.00 90.00
Space group Fm-3m (No. 225)
Unique sites:
Cs  0.250  0.250  0.250 (multiplicity 8)
Sr  0.000  0.000  0.000 (multiplicity 4)
C  0.000  0.000  0.500 (multiplicity 4)

Properties
Volume   34.88 A^3/atom
Electronic total energy   -1.490 eV per atom

---

Record 5
A plane-wave DFT calculation with GGA-PBE was carried out for a geometry-optimized Pm2SmDy4Mg structure.

abc: 4.976 4.986 10.173
angles: 90.00 90.00 90.00
Space group Pmmm (No. 47)
Unique sites:
Pm  0.000  0.000  0.000 (multiplicity 1)
Pm  0.500  0.500  0.500 (multiplicity 1)
Sm  0.000  0.000  0.500 (multiplicity 1)
Dy  0.000  0.500  0.247 (multiplicity 2)
Dy  0.500  0.000  0.247 (multiplicity 2)
Mg  0.500  0.500  0.000 (multiplicity 1)

Properties
Volume   31.55 A^3/atom
Electronic total energy   -4.253 eV per atom

---

Record 6
A plane-wave DFT calculation with GGA-PBE was carried out for a geometry-optimized YIn2Pb2 structure.

abc: 8.356 8.356 4.183
angles: 90.00 90.00 90.00
Space group P4/mbm (No. 127)
Unique sites:
Y  0.000  0.000  0.000 (multiplicity 2)
In  0.160  0.340  0.500 (multiplicity 4)
Pb  0.139  0.639  0.000 (multiplicity 4)

Properties
Volume   29.21 A^3/atom
Offset from the most stable computed form   41 meV/atom
Electronic total energy   -3.923 eV per atom

---

Record 7
A plane-wave DFT calculation with GGA-PBE was carried out for a geometry-optimized CsCdH6Os structure.

abc: 4.444 5.087 6.546
angles: 89.81 84.43 65.04
Space group P1 (No. 1)
Unique sites:
Cs  0.000  0.000  0.000 (multiplicity 1)
Cd  0.335  0.343  0.506 (multiplicity 1)
H  0.235  0.892  0.559 (multiplicity 1)
H  0.493  0.841  0.283 (multiplicity 1)
H  0.596  0.935  0.719 (multiplicity 1)
H  0.685  0.495  0.698 (multiplicity 1)
H  0.836  0.927  0.417 (multiplicity 1)
H  0.874  0.457  0.333 (multiplicity 1)
Os  0.640  0.735  0.506 (multiplicity 1)

Properties
Volume   14.82 A^3/atom
Electronic total energy   -3.748 eV per atom

---

Record 8
A plane-wave DFT calculation with GGA-PBE was carried out for a geometry-optimized Tb2GaBiO6 structure.

abc: 5.328 5.328 5.416
angles: 90.00 90.00 90.00
Space group P4mm (No. 99)
Unique sites:
Tb  0.000  0.500  0.000 (multiplicity 2)
Ga  0.000  0.000  0.609 (multiplicity 1)
Bi  0.500  0.500  0.566 (multiplicity 1)
O  0.000  0.000  0.264 (multiplicity 1)
O  0.236  0.236  0.766 (multiplicity 4)
O  0.500  0.500  0.142 (multiplicity 1)

Properties
Volume   15.37 A^3/atom
Electronic total energy   -6.874 eV per atom
Energy relative to the elements, uncorrected   -2282 meV per atom

---

Record 9
A plane-wave DFT calculation with GGA-PBE was carried out for a geometry-optimized Sr3Li7Ag4 structure.

abc: 17.299 4.572 10.691
angles: 90.00 126.32 90.00
Space group C2/m (No. 12)
Unique sites:
Sr  0.000  0.000  0.000 (multiplicity 2)
Sr  0.194  0.500  0.705 (multiplicity 4)
Li  0.000  0.000  0.500 (multiplicity 2)
Li  0.010  0.500  0.292 (multiplicity 4)
Li  0.159  0.000  0.423 (multiplicity 4)
Li  0.182  0.500  0.013 (multiplicity 4)
Ag  0.108  0.000  0.824 (multiplicity 4)
Ag  0.161  0.500  0.273 (multiplicity 4)

Properties
Volume   24.33 A^3/atom
Electronic total energy   -2.303 eV per atom

---

Record 10
A plane-wave DFT calculation with GGA-PBE was carried out for a geometry-optimized CsErIn2Cl6 structure.

abc: 7.912 7.944 8.207
angles: 90.09 118.80 119.84
Space group P1 (No. 1)
Unique sites:
Cs  0.000  0.000  0.000 (multiplicity 1)
Er  0.971  0.486  0.456 (multiplicity 1)
In  0.571  0.286  0.855 (multiplicity 1)
In  0.591  0.795  0.386 (multiplicity 1)
Cl  0.075  0.424  0.207 (multiplicity 1)
Cl  0.084  0.264  0.660 (multiplicity 1)
Cl  0.396  0.820  0.658 (multiplicity 1)
Cl  0.557  0.134  0.206 (multiplicity 1)
Cl  0.782  0.649  0.205 (multiplicity 1)
Cl  0.837  0.576  0.657 (multiplicity 1)

Properties
Volume   37.19 A^3/atom
Electronic total energy   -3.860 eV per atom
Energy relative to the elements, uncorrected   -1662 meV per atom

---

Record 11
A plane-wave DFT calculation with GGA-PBE was carried out for a geometry-optimized TbEuSn2 structure.

abc: 3.522 3.522 9.046
angles: 90.00 90.00 90.00
Space group P4/mmm (No. 123)
Unique sites:
Tb  0.000  0.000  0.000 (multiplicity 1)
Eu  0.000  0.000  0.500 (multiplicity 1)
Sn  0.500  0.500  0.241 (multiplicity 2)

Properties
Volume   28.05 A^3/atom
Offset from the most stable computed form   0 meV/atom
Electronic total energy   -6.384 eV per atom